## one
BPd2Cl: optimized geometry, PBE.

CIF file:
```
data_BPd2Cl
_chemical_formula_sum 'B2 Pd4 Cl2'
_symmetry_space_group_name_H-M 'P 1'
_symmetry_Int_Tables_number 1
_symmetry_space_group_name_Hall 'P 1'
_cell_length_a 5.359
_cell_length_b 5.359
_cell_length_c 6.279
_cell_angle_alpha 64.74
_cell_angle_beta 64.74
_cell_angle_gamma 90.00
loop_
_atom_site_label
_atom_site_fract_x
_atom_site_fract_y
_atom_site_fract_z
B1 0.500 0.500 0.000
B2 0.250 0.750 0.500
Pd1 0.538 0.125 0.250
Pd2 0.212 0.625 0.250
Pd3 0.375 0.462 0.750
Pd4 0.875 0.788 0.750
Cl1 0.000 0.000 0.000
Cl2 0.750 0.250 0.500
```


## two
BPd2Cl: optimized geometry, PBE.

CIF file:
```
data_BPd2Cl
_chemical_formula_sum 'B1 Pd2 Cl1'
_symmetry_space_group_name_H-M 'P 1'
_symmetry_Int_Tables_number 1
_symmetry_space_group_name_Hall 'P 1'
_cell_length_a 4.272
_cell_length_b 4.272
_cell_length_c 4.272
_cell_angle_alpha 60.00
_cell_angle_beta 60.00
_cell_angle_gamma 60.00
loop_
_atom_site_label
_atom_site_fract_x
_atom_site_fract_y
_atom_site_fract_z
B1 0.000 0.000 0.000
Pd1 0.250 0.250 0.250
Pd2 0.750 0.750 0.750
Cl1 0.500 0.500 0.500
```


Which one is most stable, and which one is least stable? one is the most stable of them, while two is the least stable.


## one
B2PdCl: optimized geometry, PBE.

CIF file:
```
data_B2PdCl
_chemical_formula_sum 'B4 Pd2 Cl2'
_symmetry_space_group_name_H-M 'P 1'
_symmetry_Int_Tables_number 1
_symmetry_space_group_name_Hall 'P 1'
_cell_length_a 5.162
_cell_length_b 5.162
_cell_length_c 6.028
_cell_angle_alpha 64.65
_cell_angle_beta 64.65
_cell_angle_gamma 90.00
loop_
_atom_site_label
_atom_site_fract_x
_atom_site_fract_y
_atom_site_fract_z
B1 0.677 0.125 0.250
B2 0.073 0.625 0.250
B3 0.375 0.323 0.750
B4 0.875 0.927 0.750
Pd1 0.000 0.000 0.000
Pd2 0.750 0.250 0.500
Cl1 0.500 0.500 0.000
Cl2 0.250 0.750 0.500
```


## two
B2PdCl: optimized geometry, PBE.

CIF file:
```
data_B2PdCl
_chemical_formula_sum 'B2 Pd1 Cl1'
_symmetry_space_group_name_H-M 'P 1'
_symmetry_Int_Tables_number 1
_symmetry_space_group_name_Hall 'P 1'
_cell_length_a 4.229
_cell_length_b 4.229
_cell_length_c 4.229
_cell_angle_alpha 60.00
_cell_angle_beta 60.00
_cell_angle_gamma 60.00
loop_
_atom_site_label
_atom_site_fract_x
_atom_site_fract_y
_atom_site_fract_z
B1 0.250 0.250 0.250
B2 0.750 0.750 0.750
Pd1 0.500 0.500 0.500
Cl1 0.000 0.000 0.000
```


Which one is most stable, and which one is least stable? one is the most stable of them, while two is the least stable.


## one
BPtCl2: optimized geometry, PBE.

CIF file:
```
data_BPtCl2
_chemical_formula_sum 'B1 Pt1 Cl2'
_symmetry_space_group_name_H-M 'P 1'
_symmetry_Int_Tables_number 1
_symmetry_space_group_name_Hall 'P 1'
_cell_length_a 9.683
_cell_length_b 9.683
_cell_length_c 9.683
_cell_angle_alpha 17.75
_cell_angle_beta 17.75
_cell_angle_gamma 17.75
loop_
_atom_site_label
_atom_site_fract_x
_atom_site_fract_y
_atom_site_fract_z
B1 0.000 0.000 0.000
Pt1 0.500 0.500 0.500
Cl1 0.942 0.942 0.942
Cl2 0.058 0.058 0.058
```


## two
BPtCl2: optimized geometry, PBE.

CIF file:
```
data_BPtCl2
_chemical_formula_sum 'B1 Pt1 Cl2'
_symmetry_space_group_name_H-M 'P 1'
_symmetry_Int_Tables_number 1
_symmetry_space_group_name_Hall 'P 1'
_cell_length_a 7.906
_cell_length_b 7.906
_cell_length_c 7.906
_cell_angle_alpha 22.92
_cell_angle_beta 22.92
_cell_angle_gamma 22.92
loop_
_atom_site_label
_atom_site_fract_x
_atom_site_fract_y
_atom_site_fract_z
B1 0.500 0.500 0.500
Pt1 0.000 0.000 0.000
Cl1 0.898 0.898 0.898
Cl2 0.102 0.102 0.102
```


Which one is most stable, and which one is least stable? one is the most stable of them, while two is the least stable.


## one
BPtCl2: optimized geometry, PBE.

CIF file:
```
data_BPtCl2
_chemical_formula_sum 'B1 Pt1 Cl2'
_symmetry_space_group_name_H-M 'P 1'
_symmetry_Int_Tables_number 1
_symmetry_space_group_name_Hall 'P 1'
_cell_length_a 4.570
_cell_length_b 4.570
_cell_length_c 4.570
_cell_angle_alpha 60.00
_cell_angle_beta 60.00
_cell_angle_gamma 60.00
loop_
_atom_site_label
_atom_site_fract_x
_atom_site_fract_y
_atom_site_fract_z
B1 0.000 0.000 0.000
Pt1 0.500 0.500 0.500
Cl1 0.250 0.250 0.250
Cl2 0.750 0.750 0.750
```


## two
BPtCl2: optimized geometry, PBE.

CIF file:
```
data_BPtCl2
_chemical_formula_sum 'B2 Pt2 Cl4'
_symmetry_space_group_name_H-M 'P 1'
_symmetry_Int_Tables_number 1
_symmetry_space_group_name_Hall 'P 1'
_cell_length_a 5.344
_cell_length_b 5.344
_cell_length_c 6.425
_cell_angle_alpha 65.43
_cell_angle_beta 65.43
_cell_angle_gamma 90.00
loop_
_atom_site_label
_atom_site_fract_x
_atom_site_fract_y
_atom_site_fract_z
B1 0.500 0.500 0.000
B2 0.250 0.750 0.500
Pt1 0.000 0.000 0.000
Pt2 0.750 0.250 0.500
Cl1 0.551 0.125 0.250
Cl2 0.199 0.625 0.250
Cl3 0.375 0.449 0.750
Cl4 0.875 0.801 0.750
```


Which one is most stable, and which one is least stable? two is the most stable of them, while one is the least stable.


## one
BPtSCl2: optimized geometry, PBE.

CIF file:
```
data_BPtSCl2
_chemical_formula_sum 'B1 Pt1 S1 Cl2'
_symmetry_space_group_name_H-M 'P 1'
_symmetry_Int_Tables_number 1
_symmetry_space_group_name_Hall 'P 1'
_cell_length_a 3.931
_cell_length_b 3.931
_cell_length_c 5.384
_cell_angle_alpha 90.00
_cell_angle_beta 90.00
_cell_angle_gamma 90.00
loop_
_atom_site_label
_atom_site_fract_x
_atom_site_fract_y
_atom_site_fract_z
S1 0.000 0.000 0.500
B1 0.000 0.000 0.000
Pt1 0.500 0.500 0.500
Cl1 0.000 0.500 0.000
Cl2 0.500 0.000 0.000
```


## two
BPtSCl2: optimized geometry, PBE.

CIF file:
```
data_BPtSCl2
_chemical_formula_sum 'B1 Pt1 S1 Cl2'
_symmetry_space_group_name_H-M 'P 1'
_symmetry_Int_Tables_number 1
_symmetry_space_group_name_Hall 'P 1'
_cell_length_a 4.995
_cell_length_b 4.558
_cell_length_c 4.995
_cell_angle_alpha 90.00
_cell_angle_beta 90.00
_cell_angle_gamma 90.00
loop_
_atom_site_label
_atom_site_fract_x
_atom_site_fract_y
_atom_site_fract_z
S1 0.000 0.500 0.000
B1 0.500 0.500 0.500
Pt1 0.000 0.000 0.000
Cl1 0.000 0.000 0.500
Cl2 0.500 0.000 0.000
```


Which one is most stable, and which one is least stable? one is the most stable of them, while two is the least stable.


## one
RbBCl2: optimized geometry, PBE.

CIF file:
```
data_RbBCl2
_chemical_formula_sum 'Rb1 B1 Cl2'
_symmetry_space_group_name_H-M 'P 1'
_symmetry_Int_Tables_number 1
_symmetry_space_group_name_Hall 'P 1'
_cell_length_a 8.879
_cell_length_b 8.879
_cell_length_c 8.879
_cell_angle_alpha 27.67
_cell_angle_beta 27.67
_cell_angle_gamma 27.67
loop_
_atom_site_label
_atom_site_fract_x
_atom_site_fract_y
_atom_site_fract_z
B1 0.500 0.500 0.500
Rb1 0.000 0.000 0.000
Cl1 0.886 0.886 0.886
Cl2 0.114 0.114 0.114
```


## two
RbBCl2: optimized geometry, PBE.

CIF file:
```
data_RbBCl2
_chemical_formula_sum 'Rb2 B2 Cl4'
_symmetry_space_group_name_H-M 'P 1'
_symmetry_Int_Tables_number 1
_symmetry_space_group_name_Hall 'P 1'
_cell_length_a 6.366
_cell_length_b 6.366
_cell_length_c 8.029
_cell_angle_alpha 66.65
_cell_angle_beta 66.65
_cell_angle_gamma 90.00
loop_
_atom_site_label
_atom_site_fract_x
_atom_site_fract_y
_atom_site_fract_z
B1 0.500 0.500 0.000
B2 0.250 0.750 0.500
Rb1 0.000 0.000 0.000
Rb2 0.750 0.250 0.500
Cl1 0.511 0.125 0.250
Cl2 0.239 0.625 0.250
Cl3 0.375 0.489 0.750
Cl4 0.875 0.761 0.750
```


## three
RbBCl2: optimized geometry, PBE.

CIF file:
```
data_RbBCl2
_chemical_formula_sum 'Rb1 B1 Cl2'
_symmetry_space_group_name_H-M 'P 1'
_symmetry_Int_Tables_number 1
_symmetry_space_group_name_Hall 'P 1'
_cell_length_a 8.455
_cell_length_b 8.455
_cell_length_c 8.455
_cell_angle_alpha 34.80
_cell_angle_beta 34.80
_cell_angle_gamma 34.80
loop_
_atom_site_label
_atom_site_fract_x
_atom_site_fract_y
_atom_site_fract_z
B1 0.000 0.000 0.000
Rb1 0.500 0.500 0.500
Cl1 0.904 0.904 0.904
Cl2 0.096 0.096 0.096
```


## four
RbBCl2: optimized geometry, PBE.

CIF file:
```
data_RbBCl2
_chemical_formula_sum 'Rb1 B1 Cl2'
_symmetry_space_group_name_H-M 'P 1'
_symmetry_Int_Tables_number 1
_symmetry_space_group_name_Hall 'P 1'
_cell_length_a 5.234
_cell_length_b 5.234
_cell_length_c 5.234
_cell_angle_alpha 60.00
_cell_angle_beta 60.00
_cell_angle_gamma 60.00
loop_
_atom_site_label
_atom_site_fract_x
_atom_site_fract_y
_atom_site_fract_z
B1 0.000 0.000 0.000
Rb1 0.500 0.500 0.500
Cl1 0.250 0.250 0.250
Cl2 0.750 0.750 0.750
```


Which one is most stable, and which one is least stable? two is the most stable of them, while one is the least stable.